1.
DFT (SCAN) results for MoIN2O at its PBEsol-relaxed geometry.

Cell lengths 3.753, 3.753, 5.646 Å; angles 90.00, 90.00, 90.00 degrees
Fractional coordinates of all 5 atoms:
Mo: 0.000 0.000 0.000
I: 0.000 0.000 0.500
N: 0.000 0.500 0.000
N: 0.500 0.000 0.000
O: 0.500 0.500 0.500

For the magnetization, the calculation gives 0.00 μB per cell. The energy comes out at -18.5074 eV/atom. The value obtained for the uncorrected formation energy is 75 kJ/mol of atoms. As for the space group: P4/mmm (123).

=====

2.
DFT (SCAN) results for MoPI2N at its PBEsol-relaxed geometry.

Cell lengths 5.392, 5.392, 3.762 Å; angles 90.00, 90.00, 90.00 degrees
Fractional coordinates of all 5 atoms:
Mo: 0.000 0.000 0.000
P: 0.500 0.500 0.500
I: 0.000 0.500 0.000
I: 0.500 0.000 0.000
N: 0.000 0.000 0.500

For the magnetization, the calculation gives 0.00 μB per cell. The energy comes out at -24.8229 eV/atom. The value obtained for the uncorrected formation energy is 76 kJ/mol of atoms. As for the space group: P4/mmm (123).

=====

Results for ρ: 5.6, 6.0 (in g/cm³, following the order of the records).